# MgCdP2

A relaxed structure of MgCdP2 (PBE-GGA, the Alexandria database).

Lattice parameters (Å, degrees): 8.3649 3.6091 6.7461 90.00 120.11 90.00
Space group C2/m (No. 12)
Unique sites:
Mg1 0.0000 0.0000 0.0000 (multiplicity 2)
Cd1 0.0000 0.0000 0.5000 (multiplicity 2)
P1 0.1471 0.5000 0.8372 (multiplicity 4)

Values from the calculation:
**Polymorph energy (0 for the lowest one)**: 0.074 eV/atom
**Formation enthalpy at 0 K**: -0.042 eV/atom